Entry 1:
This record from Alexandria via LeMat-Bulk describes an optimized crystal structure of RbNaTl4. The functional is PBE.

abc: 5.4196 5.4196 8.5272
angles: 90.00 90.00 120.00
Last column: nearest neighbours and their distance in Å.
Space group P6/mmm (No. 191)
One atom of each set of equivalent atoms:
Rb  0.0000  0.0000  0.0000 [1 per cell]  12 Tl 4.09, 2 Na 4.26
Na  0.0000  0.0000  0.5000 [1 per cell]  12 Tl 3.53
Tl  0.3333  0.6667  0.3080 [4 per cell]  4 Tl 3.13-3.27

Results
- offset from the most stable computed form (eV/atom) = 0.000
- DFT formation energy (eV/atom) = -0.086
- M_tot (μB/atom) = 0.000
- electronic total energy (eV/cell) = -12.3
- D(E_F) (states/eV per cell) = 3.8
- volume (Å³/f.u.) = 217

Entry 2:
This record from Alexandria via LeMat-Bulk describes an optimized crystal structure of LiSiGeHF. The functional is PBE.

abc: 4.3007 2.6943 6.5617
angles: 90.00 102.58 90.00
Last column: nearest neighbours and their distance in Å.
Space group Pm (No. 6)
One atom of each set of equivalent atoms:
Li  0.0000  0.0000  0.0000 [1 per cell]  2 F 1.77
Si  0.7539  0.5000  0.3596 [1 per cell]  1 H 1.54
Ge  0.3122  0.5000  0.5632 [1 per cell]  1 F 2.28, 2 Si 2.48-2.55
H  0.7262  0.5000  0.1216 [1 per cell]  1 Si 1.54
F  0.1172  0.5000  0.8594 [1 per cell]  2 Li 1.77

Results
- offset from the most stable computed form (eV/atom) = 0.131
- M_tot (μB/atom) = 0.000
- electronic total energy (eV/cell) = -20.9
- D(E_F) (states/eV per cell) = 0.2
- volume (Å³/f.u.) = 74

Entry 3:
This record from Alexandria via LeMat-Bulk describes an optimized crystal structure of CaHoTlAg. The functional is PBE.

abc: 7.4710 7.4710 7.4710
angles: 90.00 90.00 90.00
Last column: nearest neighbours and their distance in Å.
Space group F-43m (No. 216)
One atom of each set of equivalent atoms:
Ca  0.0000  0.0000  0.0000 [4 per cell]  4 Tl 3.24, 4 Ag 3.24
Ho  0.0000  0.0000  0.5000 [4 per cell]  4 Tl 3.24, 4 Ag 3.24
Tl  0.2500  0.2500  0.2500 [4 per cell]  4 Ho 3.24, 4 Ca 3.24
Ag  0.2500  0.2500  0.7500 [4 per cell]  4 Ho 3.24, 4 Ca 3.24

Results
- DFT formation energy (eV/atom) = -0.347
- M_tot (μB/atom) = 0.000
- electronic total energy (eV/cell) = -52.7
- D(E_F) (states/eV per cell) = 13.4
- volume (Å³/f.u.) = 104

Entry 4:
This record from Alexandria via LeMat-Bulk describes an optimized crystal structure of Er4CoS3. The functional is PBE.

abc: 7.9859 11.0424 3.7923
angles: 90.00 90.00 90.00
Last column: nearest neighbours and their distance in Å.
Space group Cmmm (No. 65)
One atom of each set of equivalent atoms:
Er  0.0000  0.2395  0.0000 [4 per cell]  1 Co 2.64, 5 S 2.76-2.88
Er  0.2339  0.0000  0.5000 [4 per cell]  2 Co 2.66, 4 S 2.76-2.85
Co  0.0000  0.0000  0.0000 [2 per cell]  6 Er 2.64-2.66
S  0.0000  0.5000  0.0000 [2 per cell]  6 Er 2.85-2.88
S  0.2500  0.2500  0.5000 [4 per cell]  6 Er 2.76

Results
- M_tot (μB/atom) = 0.000
- electronic total energy (eV/cell) = -99.0
- D(E_F) (states/eV per cell) = 12.2
- volume (Å³/f.u.) = 167

Entry 5:
This record from Alexandria via LeMat-Bulk describes an optimized crystal structure of LaMgOs. The functional is PBE.

abc: 6.3706 12.2064 7.5345
angles: 90.00 90.00 90.00
Last column: nearest neighbours and their distance in Å.
Space group Cmce (No. 64)
One atom of each set of equivalent atoms:
La  0.0000  0.1995  0.1113 [8 per cell]  1 Os 2.64
Mg  0.2500  0.0374  0.7500 [8 per cell]  4 Os 2.74-2.87
Os  0.0000  0.1016  0.4736 [8 per cell]  1 Os 2.51, 1 La 2.64, 2 Mg 2.74

Results
- DFT formation energy (eV/atom) = -0.012
- M_tot (μB/atom) = 0.000
- electronic total energy (eV/cell) = -142.3
- D(E_F) (states/eV per cell) = 18.0
- volume (Å³/f.u.) = 73

Entry 6:
This record from Alexandria via LeMat-Bulk describes an optimized crystal structure of Pm4TePbSe2. The functional is PBE.

abc: 7.5525 4.3548 7.5537
angles: 90.00 109.42 90.00
Last column: nearest neighbours and their distance in Å.
Space group P2/m (No. 10)
One atom of each set of equivalent atoms:
Pm  0.2297  0.0000  0.2380 [2 per cell]  3 Se 2.98-3.03, 1 Pb 3.14, 2 Te 3.18
Pm  0.2339  0.5000  0.7472 [2 per cell]  3 Se 3.00-3.03, 2 Pb 3.14, 1 Te 3.17
Te  0.5000  0.5000  0.5000 [1 per cell]  6 Pm 3.17-3.18
Pb  0.5000  0.0000  0.0000 [1 per cell]  6 Pm 3.14
Se  0.0000  0.0000  0.5000 [1 per cell]  6 Pm 3.03
Se  0.0000  0.5000  0.0000 [1 per cell]  6 Pm 2.98-3.00

Results
- M_tot (μB/atom) = 0.000
- electronic total energy (eV/cell) = -44.2
- D(E_F) (states/eV per cell) = 3.2
- volume (Å³/f.u.) = 234